Crystalline MgPd2F8 at its relaxed geometry. Source: the Alexandria database, functional PBE-GGA.

Cell lengths 9.2737, 6.7431, 4.5638 Å; angles 90.00, 92.12, 90.00 degrees
Space group C2/m (No. 12)
Symmetry-distinct sites (fractional):
1 Mg 0.0000 0.0000 0.0000 [2 per cell]
2 Pd 0.1212 0.5000 0.2446 [4 per cell]
3 F 0.0971 0.5000 0.7463 [4 per cell]
4 F 0.1141 0.2085 0.2363 [8 per cell]
5 F 0.1683 0.0000 0.7404 [4 per cell]

Values from the calculation:
Magnetization (μB per formula unit): 0.50
Raw formation energy (meV per atom): -1799.2

***

Crystalline BaZr2 at its relaxed geometry. Source: the Alexandria database, functional PBE-GGA.

Cell lengths 3.3532, 23.2539, 5.1134 Å; angles 90.00, 90.00, 90.00 degrees
Space group Cmcm (No. 63)
Symmetry-distinct sites (fractional):
1 Ba 0.0000 0.1820 0.2500 [4 per cell]
2 Zr 0.0000 0.0753 0.7500 [4 per cell]
3 Zr 0.0000 0.4600 0.7500 [4 per cell]

Values from the calculation:
Energy above the lowest structure with this stoichiometry (meV/atom): 14
Magnetization (μB per formula unit): 0.00
Calculated formation energy (kJ per mole of atoms): 32.1

***

Crystalline NaNiAs2Br at its relaxed geometry. Source: the Alexandria database, functional PBE-GGA.

Cell lengths 4.3661, 4.3661, 8.9707 Å; angles 90.00, 90.00, 90.00 degrees
Space group P4/mmm (No. 123)
Symmetry-distinct sites (fractional):
1 Na 0.0000 0.0000 0.0000 [1 per cell]
2 Ni 0.5000 0.5000 0.5000 [1 per cell]
3 As 0.0000 0.5000 0.5000 [2 per cell]
4 Br 0.5000 0.5000 0.0000 [1 per cell]

Values from the calculation:
Energy above the lowest structure with this stoichiometry (meV/atom): 0
Magnetization (μB per formula unit): 0.00
Raw formation energy (meV per atom): -196.7

***

Crystalline YIr3Pd at its relaxed geometry. Source: the Alexandria database, functional PBE-GGA.

Cell lengths 4.9224, 4.9224, 4.9224 Å; angles 90.00, 90.00, 90.00 degrees
Space group Pm-3m (No. 221)
Symmetry-distinct sites (fractional):
1 Y 0.0000 0.0000 0.0000 [1 per cell]
2 Ir 0.0000 0.0000 0.5000 [3 per cell]
3 Pd 0.5000 0.5000 0.5000 [1 per cell]

Values from the calculation:
Energy above the lowest structure with this stoichiometry (meV/atom): 1021
Magnetization (μB per formula unit): 2.32
Calculated formation energy (kJ per mole of atoms): 207.0